[1]
Density functional theory data (PBE-GGA) for a relaxed Ag2TeS crystal.

- symmetry = P1
- energy above the most stable polymorph in this dataset (eV/atom) = 0.0164

a b c (Å): 3.9996 4.0225 6.6491
angles (deg): 77.01 76.94 72.56
Positions (direct):
S1 0.7756 0.1725 0.9477
Ag1 0.3670 0.0950 0.7224
Ag2 0.8576 0.5832 0.1721
Te1 0.9897 0.9632 0.4472

---

[2]
Density functional theory data (PBE-GGA) for a relaxed PmNd2Er3Tm6 crystal.

- symmetry = C2/m
- formation energy (eV/atom) = 0.025

a b c (Å): 6.1345 6.1345 11.6766
angles (deg): 95.02 95.02 119.95
Positions (direct):
Tm1 0.0855 0.4187 0.2541
Tm2 0.7524 0.7524 0.2541
Tm3 0.9145 0.5813 0.7459
Tm4 0.2476 0.2476 0.7459
Tm5 0.5813 0.9145 0.7459
Tm6 0.4187 0.0855 0.2541
Nd1 0.3334 0.6666 0.0000
Nd2 0.6666 0.3334 0.0000
Pm1 0.0000 0.0000 0.0000
Er1 0.8334 0.1666 0.5000
Er2 0.5000 0.5000 0.5000
Er3 0.1666 0.8334 0.5000

---

[3]
Density functional theory data (PBE-GGA) for a relaxed Ca2CdInCo crystal.

- symmetry = P4/mmm
- energy above the most stable polymorph in this dataset (eV/atom) = 0.2937
- formation energy (eV/atom) = 0.433

a b c (Å): 5.7562 4.7897 5.7562
angles (deg): 90.00 90.00 90.00
Positions (direct):
Cd1 0.0000 0.0000 0.0000
In1 0.5000 0.5000 0.5000
Ca1 0.0000 0.0000 0.5000
Ca2 0.5000 0.0000 0.0000
Co1 0.0000 0.5000 0.0000

---

[4]
Density functional theory data (PBE-GGA) for a relaxed Cr3CoSi crystal.

- symmetry = Pm-3m
- energy above the most stable polymorph in this dataset (eV/atom) = 0.1665

a b c (Å): 4.2537 4.2537 4.2537
angles (deg): 90.00 90.00 90.00
Positions (direct):
Cr1 0.5000 0.0000 0.0000
Cr2 0.0000 0.0000 0.5000
Cr3 0.0000 0.5000 0.0000
Co1 0.5000 0.5000 0.5000
Si1 0.0000 0.0000 0.0000

---

[5]
Density functional theory data (PBE-GGA) for a relaxed AlPd4S crystal.

- symmetry = I4_1md
- energy (eV per atom) = -4.886

a b c (Å): 6.5928 6.5928 6.5928
angles (deg): 110.42 110.42 107.59
Positions (direct):
Pd1 0.2589 0.5732 0.3143
Pd2 0.6946 0.5089 0.1857
Pd3 0.7407 0.4285 0.6878
Pd4 0.1785 0.9907 0.1878
Pd5 0.3232 0.5089 0.8143
Pd6 0.7407 0.0529 0.3122
Pd7 0.2589 0.9446 0.6857
Pd8 0.8029 0.9907 0.8122
S1 0.7545 0.7545 0.0000
S2 0.5045 0.0045 0.5000
Al1 0.2462 0.2462 0.0000
Al2 0.9962 0.4962 0.5000

---

[6]
Density functional theory data (PBE-GGA) for a relaxed ZrRh3 crystal.

- symmetry = P-6m2
- formation energy (eV/atom) = -0.082

a b c (Å): 2.8472 2.8472 9.0360
angles (deg): 90.00 90.00 120.00
Positions (direct):
Rh1 0.0000 0.0000 0.0111
Rh2 0.3333 0.6667 0.2500
Rh3 0.0000 0.0000 0.4889
Zr1 0.3333 0.6667 0.7500

---

[7]
Density functional theory data (PBE-GGA) for a relaxed Pm10Tm4Sc crystal.

- symmetry = I4/mmm
- formation energy (eV/atom) = 0.204

a b c (Å): 7.6329 8.9627 8.9627
angles (deg): 79.55 64.80 64.80
Positions (direct):
Sc1 0.0000 0.0000 0.0000
Pm1 0.9321 0.7878 0.7877
Pm2 0.5076 0.2122 0.2123
Pm3 0.2500 0.5000 0.5000
Pm4 0.0679 0.2122 0.2123
Pm5 0.7197 0.2123 0.7878
Pm6 0.2803 0.7877 0.2122
Pm7 0.4924 0.7878 0.7877
Pm8 0.7199 0.7877 0.2122
Pm9 0.2801 0.2123 0.7878
Pm10 0.7500 0.5000 0.5000
Tm1 0.2346 0.0000 0.5309
Tm2 0.7654 0.4691 0.0000
Tm3 0.2346 0.5309 0.0000
Tm4 0.7654 0.0000 0.4691

---

[8]
Density functional theory data (PBE-GGA) for a relaxed In2AgI crystal.

- symmetry = I-42d
- energy above the most stable polymorph in this dataset (eV/atom) = 0.0798

a b c (Å): 6.2407 6.2407 9.3171
angles (deg): 70.43 70.43 90.00
Positions (direct):
I1 0.0000 0.0000 0.0000
I2 0.7500 0.2500 0.5000
In1 0.8750 0.7814 0.7500
In2 0.3750 0.4686 0.7500
In3 0.5314 0.1250 0.2500
In4 0.2186 0.6250 0.2500
Ag1 0.2500 0.7500 0.5000
Ag2 0.5000 0.5000 0.0000

---

[9]
Density functional theory data (PBE-GGA) for a relaxed Pr3ErP4 crystal.

- symmetry = Cmmm
- formation energy (eV/atom) = -1.523

a b c (Å): 4.1506 7.1813 7.1813
angles (deg): 109.45 90.00 90.00
Positions (direct):
P1 0.0000 0.7593 0.7593
P2 0.5000 0.2452 0.7548
P3 0.0000 0.2407 0.2407
P4 0.5000 0.7548 0.2452
Pr1 0.0000 0.5000 0.0000
Pr2 0.5000 0.5000 0.5000
Pr3 0.0000 0.0000 0.5000
Er1 0.5000 0.0000 0.0000

---

[10]
Density functional theory data (PBE-GGA) for a relaxed LaBe2Al crystal.

- symmetry = P4/mmm
- formation energy (eV/atom) = 0.347

a b c (Å): 3.7606 4.4713 4.4713
angles (deg): 90.00 90.00 90.00
Positions (direct):
Al1 0.5000 0.0000 0.5000
Be1 0.0000 0.0000 0.0000
Be2 0.0000 0.5000 0.5000
La1 0.5000 0.5000 0.0000

---

[11]
Density functional theory data (PBE-GGA) for a relaxed LuThAlTc crystal.

- symmetry = F-43m
- formation energy (eV/atom) = -0.180

a b c (Å): 5.0193 5.0193 5.0193
angles (deg): 60.00 60.00 60.00
Positions (direct):
Tc1 0.2500 0.2500 0.2500
Th1 0.5000 0.5000 0.5000
Al1 0.7500 0.7500 0.7500
Lu1 0.0000 0.0000 0.0000

---

[12]
Density functional theory data (PBE-GGA) for a relaxed Pr4GaTe2 crystal.

- symmetry = I-42d
- energy (eV per atom) = -4.958

a b c (Å): 8.5049 8.5049 8.5049
angles (deg): 109.31 109.79 109.31
Positions (direct):
Te1 0.8750 0.2478 0.6228
Te2 0.3750 0.7522 0.6272
Te3 0.3772 0.2522 0.6250
Te4 0.3728 0.7478 0.1250
Pr1 0.0594 0.3039 0.3598
Pr2 0.6402 0.6997 0.9442
Pr3 0.6906 0.8003 0.4945
Pr4 0.1098 0.8039 0.3094
Pr5 0.5055 0.1961 0.3058
Pr6 0.2445 0.3003 0.9406
Pr7 0.6942 0.1997 0.8902
Pr8 0.0558 0.6961 0.7555
Ga1 0.0000 0.0000 0.0000
Ga2 0.7500 0.5000 0.2500

---

Repeat the seventh record exactly.
Density functional theory data (PBE-GGA) for a relaxed Pm10Tm4Sc crystal.

- symmetry = I4/mmm
- formation energy (eV/atom) = 0.204

a b c (Å): 7.6329 8.9627 8.9627
angles (deg): 79.55 64.80 64.80
Positions (direct):
Sc1 0.0000 0.0000 0.0000
Pm1 0.9321 0.7878 0.7877
Pm2 0.5076 0.2122 0.2123
Pm3 0.2500 0.5000 0.5000
Pm4 0.0679 0.2122 0.2123
Pm5 0.7197 0.2123 0.7878
Pm6 0.2803 0.7877 0.2122
Pm7 0.4924 0.7878 0.7877
Pm8 0.7199 0.7877 0.2122
Pm9 0.2801 0.2123 0.7878
Pm10 0.7500 0.5000 0.5000
Tm1 0.2346 0.0000 0.5309
Tm2 0.7654 0.4691 0.0000
Tm3 0.2346 0.5309 0.0000
Tm4 0.7654 0.0000 0.4691